<one>
# PBE Ba6LiNb2IrCl2O12, optimized geometry
data_Ba6LiNb2IrCl2O12
_chemical_formula_sum 'Ba6 Li1 Nb2 Ir1 Cl2 O12'
_cell_length_a 6.274
_cell_length_b 6.274
_cell_length_c 15.005
_cell_angle_alpha 83.42
_cell_angle_beta 83.42
_cell_angle_gamma 56.91
_symmetry_space_group_name_H-M 'P 1'
_symmetry_Int_Tables_number 1
loop_
_symmetry_equiv_pos_as_xyz
'x,y,z'
loop_
_atom_site_label
_atom_site_fract_x
_atom_site_fract_y
_atom_site_fract_z
_atom_site_occupancy
Ba1 0.319 0.319 0.360 1
Ba2 0.332 0.332 0.784 1
Ba3 0.685 0.685 0.634 1
Ba4 0.613 0.613 0.902 1
Ba5 0.348 0.348 0.084 1
Ba6 0.663 0.663 0.212 1
Li1 0.803 0.803 0.003 1
Nb1 0.980 0.980 0.813 1
Nb2 0.024 0.024 0.183 1
Ir1 0.019 0.019 0.001 1
Cl1 0.688 0.688 0.423 1
Cl2 0.311 0.311 0.577 1
O1 0.135 0.695 0.928 1
O2 0.301 0.794 0.748 1
O3 0.207 0.703 0.248 1
O4 0.794 0.301 0.748 1
O5 0.818 0.818 0.772 1
O6 0.885 0.343 0.072 1
O7 0.181 0.181 0.233 1
O8 0.343 0.885 0.072 1
O9 0.874 0.874 0.107 1
O10 0.695 0.135 0.928 1
O11 0.703 0.207 0.248 1
O12 0.138 0.138 0.886 1
# - symmetry = Cm

<two>
# PBE Ba6LiNb2IrCl2O12, optimized geometry
data_Ba6LiNb2IrCl2O12
_chemical_formula_sum 'Ba6 Li1 Nb2 Ir1 Cl2 O12'
_cell_length_a 6.126
_cell_length_b 6.126
_cell_length_c 15.226
_cell_angle_alpha 85.32
_cell_angle_beta 85.32
_cell_angle_gamma 58.50
_symmetry_space_group_name_H-M 'P 1'
_symmetry_Int_Tables_number 1
loop_
_symmetry_equiv_pos_as_xyz
'x,y,z'
loop_
_atom_site_label
_atom_site_fract_x
_atom_site_fract_y
_atom_site_fract_z
_atom_site_occupancy
Ba1 0.680 0.680 0.363 1
Ba2 0.642 0.642 0.783 1
Ba3 0.320 0.320 0.637 1
Ba4 0.280 0.280 0.901 1
Ba5 0.720 0.720 0.099 1
Ba6 0.358 0.358 0.217 1
Li1 0.500 0.500 0.000 1
Nb1 0.965 0.965 0.819 1
Nb2 0.035 0.035 0.181 1
Ir1 0.000 0.000 0.000 1
Cl1 0.347 0.347 0.425 1
Cl2 0.653 0.653 0.575 1
O1 0.791 0.295 0.908 1
O2 0.645 0.119 0.761 1
O3 0.881 0.355 0.239 1
O4 0.119 0.645 0.761 1
O5 0.131 0.131 0.755 1
O6 0.209 0.705 0.092 1
O7 0.869 0.869 0.245 1
O8 0.705 0.209 0.092 1
O9 0.164 0.164 0.069 1
O10 0.295 0.791 0.908 1
O11 0.355 0.881 0.239 1
O12 0.836 0.836 0.931 1
# - symmetry = C2/m

The most stable of them is <two>.

<one>
# PBE BaP2IrCl, optimized geometry
data_BaP2IrCl
_chemical_formula_sum 'Ba1 P2 Ir1 Cl1'
_cell_length_a 6.373
_cell_length_b 6.373
_cell_length_c 5.778
_cell_angle_alpha 90.00
_cell_angle_beta 90.00
_cell_angle_gamma 90.00
_symmetry_space_group_name_H-M 'P 1'
_symmetry_Int_Tables_number 1
loop_
_symmetry_equiv_pos_as_xyz
'x,y,z'
loop_
_atom_site_label
_atom_site_fract_x
_atom_site_fract_y
_atom_site_fract_z
_atom_site_occupancy
P1 0.000 0.500 0.000 1
P2 0.500 0.000 0.000 1
Ir1 0.500 0.500 0.500 1
Ba1 0.000 0.000 0.000 1
Cl1 0.000 0.000 0.500 1
# - symmetry = P4/mmm

<two>
# PBE BaP2IrCl, optimized geometry
data_BaP2IrCl
_chemical_formula_sum 'Ba1 P2 Ir1 Cl1'
_cell_length_a 4.500
_cell_length_b 4.500
_cell_length_c 6.723
_cell_angle_alpha 90.00
_cell_angle_beta 90.00
_cell_angle_gamma 90.00
_symmetry_space_group_name_H-M 'P 1'
_symmetry_Int_Tables_number 1
loop_
_symmetry_equiv_pos_as_xyz
'x,y,z'
loop_
_atom_site_label
_atom_site_fract_x
_atom_site_fract_y
_atom_site_fract_z
_atom_site_occupancy
P1 0.000 0.500 0.000 1
P2 0.500 0.000 0.000 1
Ir1 0.000 0.000 0.000 1
Ba1 0.500 0.500 0.500 1
Cl1 0.000 0.000 0.500 1
# - symmetry = P4/mmm

The most stable of them is <two>.

<one>
# PBE BaPIrCl2, optimized geometry
data_BaPIrCl2
_chemical_formula_sum 'Ba1 P1 Ir1 Cl2'
_cell_length_a 5.727
_cell_length_b 5.727
_cell_length_c 6.672
_cell_angle_alpha 90.00
_cell_angle_beta 90.00
_cell_angle_gamma 90.00
_symmetry_space_group_name_H-M 'P 1'
_symmetry_Int_Tables_number 1
loop_
_symmetry_equiv_pos_as_xyz
'x,y,z'
loop_
_atom_site_label
_atom_site_fract_x
_atom_site_fract_y
_atom_site_fract_z
_atom_site_occupancy
P1 0.000 0.000 0.500 1
Ir1 0.500 0.500 0.500 1
Ba1 0.000 0.000 0.000 1
Cl1 0.000 0.500 0.000 1
Cl2 0.500 0.000 0.000 1
# - symmetry = P4/mmm

<two>
# PBE BaPIrCl2, optimized geometry
data_BaPIrCl2
_chemical_formula_sum 'Ba1 P1 Ir1 Cl2'
_cell_length_a 5.236
_cell_length_b 5.236
_cell_length_c 4.498
_cell_angle_alpha 90.00
_cell_angle_beta 90.00
_cell_angle_gamma 90.00
_symmetry_space_group_name_H-M 'P 1'
_symmetry_Int_Tables_number 1
loop_
_symmetry_equiv_pos_as_xyz
'x,y,z'
loop_
_atom_site_label
_atom_site_fract_x
_atom_site_fract_y
_atom_site_fract_z
_atom_site_occupancy
P1 0.000 0.000 0.500 1
Ir1 0.000 0.000 0.000 1
Ba1 0.500 0.500 0.500 1
Cl1 0.000 0.500 0.000 1
Cl2 0.500 0.000 0.000 1
# - symmetry = P4/mmm

The most stable of them is <two>.

<one>
# PBE K2BaCl, optimized geometry
data_K2BaCl
_chemical_formula_sum 'K2 Ba1 Cl1'
_cell_length_a 4.486
_cell_length_b 4.486
_cell_length_c 12.243
_cell_angle_alpha 79.82
_cell_angle_beta 79.82
_cell_angle_gamma 59.91
_symmetry_space_group_name_H-M 'P 1'
_symmetry_Int_Tables_number 1
loop_
_symmetry_equiv_pos_as_xyz
'x,y,z'
loop_
_atom_site_label
_atom_site_fract_x
_atom_site_fract_y
_atom_site_fract_z
_atom_site_occupancy
K1 0.970 0.970 0.079 1
K2 0.755 0.755 0.749 1
Ba1 0.526 0.526 0.426 1
Cl1 0.250 0.250 0.246 1
# - symmetry = Cm

<two>
# PBE K2BaCl, optimized geometry
data_K2BaCl
_chemical_formula_sum 'K2 Ba1 Cl1'
_cell_length_a 4.171
_cell_length_b 4.361
_cell_length_c 11.623
_cell_angle_alpha 79.47
_cell_angle_beta 90.00
_cell_angle_gamma 90.00
_symmetry_space_group_name_H-M 'P 1'
_symmetry_Int_Tables_number 1
loop_
_symmetry_equiv_pos_as_xyz
'x,y,z'
loop_
_atom_site_label
_atom_site_fract_x
_atom_site_fract_y
_atom_site_fract_z
_atom_site_occupancy
K1 0.000 0.987 0.909 1
K2 0.500 0.307 0.247 1
Ba1 0.000 0.656 0.561 1
Cl1 0.500 0.549 0.783 1
# - symmetry = Pm

<three>
# PBE K2BaCl, optimized geometry
data_K2BaCl
_chemical_formula_sum 'K2 Ba1 Cl1'
_cell_length_a 12.167
_cell_length_b 12.167
_cell_length_c 12.167
_cell_angle_alpha 21.41
_cell_angle_beta 21.41
_cell_angle_gamma 21.41
_symmetry_space_group_name_H-M 'P 1'
_symmetry_Int_Tables_number 1
loop_
_symmetry_equiv_pos_as_xyz
'x,y,z'
loop_
_atom_site_label
_atom_site_fract_x
_atom_site_fract_y
_atom_site_fract_z
_atom_site_occupancy
K1 0.031 0.031 0.031 1
K2 0.469 0.469 0.469 1
Ba1 0.250 0.250 0.250 1
Cl1 0.750 0.750 0.750 1
# - symmetry = R-3m

<four>
# PBE K2BaCl, optimized geometry
data_K2BaCl
_chemical_formula_sum 'K2 Ba1 Cl1'
_cell_length_a 8.045
_cell_length_b 8.045
_cell_length_c 8.045
_cell_angle_alpha 148.45
_cell_angle_beta 120.42
_cell_angle_gamma 68.99
_symmetry_space_group_name_H-M 'P 1'
_symmetry_Int_Tables_number 1
loop_
_symmetry_equiv_pos_as_xyz
'x,y,z'
loop_
_atom_site_label
_atom_site_fract_x
_atom_site_fract_y
_atom_site_fract_z
_atom_site_occupancy
K1 0.070 0.070 0.000 1
K2 0.748 0.248 0.500 1
Ba1 0.424 0.424 0.000 1
Cl1 0.258 0.758 0.500 1
# - symmetry = Imm2

The most stable of them is <three>.

<one>
# PBE K2BaCl, optimized geometry
data_K2BaCl
_chemical_formula_sum 'K2 Ba1 Cl1'
_cell_length_a 12.527
_cell_length_b 12.527
_cell_length_c 12.527
_cell_angle_alpha 159.65
_cell_angle_beta 159.52
_cell_angle_gamma 29.03
_symmetry_space_group_name_H-M 'P 1'
_symmetry_Int_Tables_number 1
loop_
_symmetry_equiv_pos_as_xyz
'x,y,z'
loop_
_atom_site_label
_atom_site_fract_x
_atom_site_fract_y
_atom_site_fract_z
_atom_site_occupancy
K1 0.074 0.074 0.000 1
K2 0.426 0.426 0.000 1
Ba1 0.750 0.250 0.500 1
Cl1 0.250 0.750 0.500 1
# - symmetry = Immm

<two>
# PBE K2BaCl, optimized geometry
data_K2BaCl
_chemical_formula_sum 'K2 Ba1 Cl1'
_cell_length_a 4.754
_cell_length_b 5.430
_cell_length_c 8.134
_cell_angle_alpha 90.00
_cell_angle_beta 90.00
_cell_angle_gamma 90.00
_symmetry_space_group_name_H-M 'P 1'
_symmetry_Int_Tables_number 1
loop_
_symmetry_equiv_pos_as_xyz
'x,y,z'
loop_
_atom_site_label
_atom_site_fract_x
_atom_site_fract_y
_atom_site_fract_z
_atom_site_occupancy
K1 0.000 0.000 0.000 1
K2 0.500 0.500 0.000 1
Ba1 0.500 0.000 0.500 1
Cl1 0.000 0.500 0.500 1
# - symmetry = Pmmm

<three>
# PBE K2BaCl, optimized geometry
data_K2BaCl
_chemical_formula_sum 'K2 Ba1 Cl1'
_cell_length_a 7.869
_cell_length_b 8.059
_cell_length_c 4.612
_cell_angle_alpha 56.05
_cell_angle_beta 89.59
_cell_angle_gamma 110.39
_symmetry_space_group_name_H-M 'P 1'
_symmetry_Int_Tables_number 1
loop_
_symmetry_equiv_pos_as_xyz
'x,y,z'
loop_
_atom_site_label
_atom_site_fract_x
_atom_site_fract_y
_atom_site_fract_z
_atom_site_occupancy
K1 0.000 0.000 0.000 1
K2 0.000 0.500 0.500 1
Ba1 0.500 0.500 0.000 1
Cl1 0.500 0.000 0.500 1
# - symmetry = C2/m

The most stable of them is <one>.